Here is crystalline BeAlAgHg2 at its relaxed geometry from Alexandria via LeMat-Bulk. Energies are from PBE-GGA.

Results
E_tot (eV/atom): -1.784
Fermi-level density of states (states/eV per cell): 1.91
Calculated volume (Å³/f.u.): 105.0

a b c (Å): 4.725 4.706 4.725
angles (deg): 90.00 90.00 90.00
Atoms (fractional coordinates):
1 Be 0.000 0.000 0.000
2 Hg 0.500 0.000 0.000
3 Ag 0.000 0.500 0.000
4 Al 0.500 0.500 0.500
5 Hg 0.000 0.000 0.500


Here is crystalline LaBeAlAg2 at its relaxed geometry from Alexandria via LeMat-Bulk. Energies are from PBE-GGA.

Results
E_tot (eV/atom): -3.675
Fermi-level density of states (states/eV per cell): 2.79
Calculated volume (Å³/f.u.): 101.6

a b c (Å): 4.711 4.711 4.579
angles (deg): 90.00 90.00 90.00
Atoms (fractional coordinates):
1 Be 0.000 0.000 0.000
2 Ag 0.000 0.500 0.000
3 Al 0.000 0.000 0.500
4 La 0.500 0.500 0.500
5 Ag 0.500 0.000 0.000


Here is crystalline BeAlAgPd at its relaxed geometry from Alexandria via LeMat-Bulk. Energies are from PBE-GGA.

Results
E_tot (eV/atom): -4.178
Fermi-level density of states (states/eV per cell): 2.16
Calculated volume (Å³/f.u.): 55.5

a b c (Å): 4.281 4.281 4.281
angles (deg): 60.00 60.00 60.00
Atoms (fractional coordinates):
1 Al 0.000 0.000 0.000
2 Be 0.500 0.500 0.500
3 Pd 0.250 0.250 0.250
4 Ag 0.750 0.750 0.750


Here is crystalline Be2AlAgRu at its relaxed geometry from Alexandria via LeMat-Bulk. Energies are from PBE-GGA.

Results
E_tot (eV/atom): -3.534
Fermi-level density of states (states/eV per cell): 4.86
Calculated volume (Å³/f.u.): 85.3

a b c (Å): 4.106 5.058 4.106
angles (deg): 90.00 90.00 90.00
Site moments in Bohr magnetons follow the coordinates.
Atoms (fractional coordinates):
1 Ag 0.000 0.000 0.000  0.00
2 Al 0.500 0.500 0.500  -0.01
3 Be 0.000 0.000 0.500  0.00
4 Be 0.500 0.000 0.000  0.00
5 Ru 0.000 0.500 0.000  0.89


Here is crystalline ScBeAlAg at its relaxed geometry from Alexandria via LeMat-Bulk. Energies are from PBE-GGA.

Results
E_tot (eV/atom): -4.308
Fermi-level density of states (states/eV per cell): 1.98
Calculated volume (Å³/f.u.): 64.1

a b c (Å): 4.492 4.492 4.492
angles (deg): 60.00 60.00 60.00
Atoms (fractional coordinates):
1 Sc 0.250 0.250 0.250
2 Ag 0.000 0.000 0.000
3 Be 0.500 0.500 0.500
4 Al 0.750 0.750 0.750


Here is crystalline SmBeAl3Ag at its relaxed geometry from Alexandria via LeMat-Bulk. Energies are from PBE-GGA.

Results
E_tot (eV/atom): -3.777
Fermi-level density of states (states/eV per cell): 5.31
Calculated volume (Å³/f.u.): 112.8

a b c (Å): 6.163 6.014 6.787
angles (deg): 116.30 90.00 90.00
Atoms (fractional coordinates):
1 Ag 0.250 0.349 0.697
2 Al 0.750 0.866 0.732
3 Ag 0.750 0.651 0.303
4 Al 0.000 0.276 0.000
5 Al 0.500 0.724 0.000
6 Sm 0.750 0.282 0.565
7 Al 0.250 0.134 0.268
8 Be 0.750 0.062 0.125
9 Be 0.250 0.938 0.875
10 Al 0.500 0.276 0.000
11 Al 0.000 0.724 0.000
12 Sm 0.250 0.718 0.435


Here is crystalline TaBeAl2Ag at its relaxed geometry from Alexandria via LeMat-Bulk. Energies are from PBE-GGA.

Results
E_tot (eV/atom): -3.985
Fermi-level density of states (states/eV per cell): 3.88
Calculated volume (Å³/f.u.): 115.6

a b c (Å): 5.056 4.521 5.056
angles (deg): 90.00 90.00 90.00
Atoms (fractional coordinates):
1 Ta 0.000 0.000 0.000
2 Al 0.500 0.000 0.000
3 Ag 0.500 0.500 0.500
4 Al 0.000 0.000 0.500
5 Be 0.000 0.500 0.000


Here is crystalline TaBe2AlAg at its relaxed geometry from Alexandria via LeMat-Bulk. Energies are from PBE-GGA.

Results
E_tot (eV/atom): -4.044
Fermi-level density of states (states/eV per cell): 2.93
Calculated volume (Å³/f.u.): 87.4

a b c (Å): 4.254 4.254 4.826
angles (deg): 90.00 90.00 90.00
Atoms (fractional coordinates):
1 Al 0.000 0.000 0.000
2 Ag 0.500 0.500 0.500
3 Be 0.500 0.000 0.000
4 Ta 0.000 0.000 0.500
5 Be 0.000 0.500 0.000